Entry 1:
First-principles (PBE) data for LaHo6Tm2 after structural relaxation, as listed in Alexandria via LeMat-Bulk.

POSCAR file:
```
LaHo6Tm2
1.0
3.5481 0.0000 0.0000
1.7558 9.1817 0.0000
1.7475 3.0892 8.6715
La Ho Tm
1 6 2
Direct
0.0000 0.0000 0.0000 La
0.1108 0.4441 0.3345 Ho
0.3308 0.3366 0.0011 Ho
0.4422 0.7765 0.3388 Ho
0.5578 0.2235 0.6612 Ho
0.6692 0.6634 0.9989 Ho
0.8892 0.5559 0.6655 Ho
0.2240 0.8881 0.6647 Tm
0.7760 0.1119 0.3353 Tm
```

## Properties
- energy (eV per atom) = -4.569
- M_tot (μB per cell) = 0.000
- energy relative to the lowest polymorph listed for this composition (kcal/mol of atoms) = 0.00
- E_form (eV/f.u.) = 0.2

Entry 2:
First-principles (PBE) data for SnPtBr2 after structural relaxation, as listed in Alexandria via LeMat-Bulk.

POSCAR file:
```
SnPtBr2
1.0
0.0000 3.5996 3.5996
3.5996 0.0000 3.5996
3.5996 3.5996 0.0000
Sn Pt Br
1 1 2
Direct
0.0000 0.0000 0.0000 Sn
0.5000 0.5000 0.5000 Pt
0.2500 0.2500 0.2500 Br
0.7500 0.7500 0.7500 Br
```

## Properties
- energy (eV per atom) = -3.074
- M_tot (μB per cell) = 0.000
- energy relative to the lowest polymorph listed for this composition (kcal/mol of atoms) = 3.01
- formation energy from raw total energies (eV per atom) = 0.274